This record from the Open Quantum Materials Database describes an optimized crystal structure of Tm4Lu3Ni2S2. The functional is PBE.

Summary:
Mass density in kg/m³: 9474
Total magnetization in Bohr magnetons per cell: 0.01
Symmetry: Imm2 (44)
VASP energy in eV per atom: -5.492
Crystal system: orthorhombic

abc: 8.7468 8.7468 8.7468
angles: 155.64 67.89 117.74
Positions (direct):
1 Tm 0.1205 0.0000 0.1205
2 Tm 0.2138 0.8480 0.3658
3 Tm 0.4822 0.8480 0.6342
4 Tm 0.8795 0.0000 0.8795
5 Lu 0.5223 0.2081 0.3142
6 Lu 0.6000 0.6000 0.0000
7 Lu 0.8939 0.2081 0.6858
8 Ni 0.2704 0.5098 0.7606
9 Ni 0.7492 0.5098 0.2394
10 S 0.2483 0.2483 0.0000
11 S 0.8442 0.3442 0.5000